VASP calculation (SCAN) on La5Tc at its PBEsol-relaxed geometry.

The structure in CIF format:
```
data_La5Tc
_space_group_name_H-M_alt 'P 1'
_space_group_IT_number 1
_space_group_name_Hall 'P 1'
_cell_length_a 12.032
_cell_length_b 3.795
_cell_length_c 8.123
_cell_angle_alpha 90.00
_cell_angle_beta 107.34
_cell_angle_gamma 90.00
loop_
_atom_site_label
_atom_site_fract_x
_atom_site_fract_y
_atom_site_fract_z
_atom_site_occupancy
La1 0.000 0.000 0.000 1
La2 0.124 0.500 0.382 1
La3 0.177 0.500 0.820 1
La4 0.323 0.000 0.180 1
La5 0.376 0.000 0.618 1
La6 0.500 0.500 0.000 1
La7 0.624 0.000 0.382 1
La8 0.677 0.000 0.820 1
La9 0.823 0.500 0.180 1
La10 0.876 0.500 0.618 1
Tc1 0.000 0.000 0.500 1
Tc2 0.500 0.500 0.500 1
```

Calculated values
E_tot = -41.7086 eV per atom
formation energy from the elements = 0.0556 eV per atom
energy relative to the lowest polymorph listed for this composition = 0.0000 eV/atom
volume = 29.50 Å³/atom
total magnetic moment = 0.0 μB per cell

---

VASP calculation (SCAN) on LaTc at its PBEsol-relaxed geometry.

The structure in CIF format:
```
data_LaTc
_space_group_name_H-M_alt 'P 1'
_space_group_IT_number 1
_space_group_name_Hall 'P 1'
_cell_length_a 4.085
_cell_length_b 4.085
_cell_length_c 22.763
_cell_angle_alpha 90.00
_cell_angle_beta 90.00
_cell_angle_gamma 120.00
loop_
_atom_site_label
_atom_site_fract_x
_atom_site_fract_y
_atom_site_fract_z
_atom_site_occupancy
La1 0.000 0.000 0.091 1
La2 0.000 0.000 0.909 1
La3 0.333 0.667 0.575 1
La4 0.333 0.667 0.758 1
La5 0.667 0.333 0.242 1
La6 0.667 0.333 0.425 1
Tc1 0.000 0.000 0.346 1
Tc2 0.000 0.000 0.654 1
Tc3 0.333 0.667 0.013 1
Tc4 0.333 0.667 0.320 1
Tc5 0.667 0.333 0.680 1
Tc6 0.667 0.333 0.987 1
```

Calculated values
E_tot = -39.1007 eV per atom
formation energy from the elements = -0.0182 eV per atom
volume = 27.42 Å³/atom
total magnetic moment = 0.0 μB per cell

---

VASP calculation (SCAN) on La2TcTe at its PBEsol-relaxed geometry.

The structure in CIF format:
```
data_La2TcTe
_space_group_name_H-M_alt 'P 1'
_space_group_IT_number 1
_space_group_name_Hall 'P 1'
_cell_length_a 7.460
_cell_length_b 7.460
_cell_length_c 7.460
_cell_angle_alpha 90.00
_cell_angle_beta 90.00
_cell_angle_gamma 90.00
loop_
_atom_site_label
_atom_site_fract_x
_atom_site_fract_y
_atom_site_fract_z
_atom_site_occupancy
La1 0.250 0.250 0.250 1
La2 0.250 0.250 0.750 1
La3 0.250 0.750 0.250 1
La4 0.250 0.750 0.750 1
La5 0.750 0.250 0.250 1
La6 0.750 0.250 0.750 1
La7 0.750 0.750 0.250 1
La8 0.750 0.750 0.750 1
Tc1 0.000 0.000 0.000 1
Tc2 0.000 0.500 0.500 1
Tc3 0.500 0.000 0.500 1
Tc4 0.500 0.500 0.000 1
Te1 0.000 0.000 0.500 1
Te2 0.000 0.500 0.000 1
Te3 0.500 0.000 0.000 1
Te4 0.500 0.500 0.500 1
```

Calculated values
E_tot = -39.9505 eV per atom
formation energy from raw total energies = -124 kJ/mol of formula units
energy relative to the lowest polymorph listed for this composition = 0.1739 eV/atom
volume = 25.95 Å³/atom
total magnetic moment = 4.0 μB per cell

---

VASP calculation (SCAN) on La2TcTe at its PBEsol-relaxed geometry.

The structure in CIF format:
```
data_La2TcTe
_space_group_name_H-M_alt 'P 1'
_space_group_IT_number 1
_space_group_name_Hall 'P 1'
_cell_length_a 4.590
_cell_length_b 5.584
_cell_length_c 8.126
_cell_angle_alpha 90.00
_cell_angle_beta 90.00
_cell_angle_gamma 90.00
loop_
_atom_site_label
_atom_site_fract_x
_atom_site_fract_y
_atom_site_fract_z
_atom_site_occupancy
La1 0.000 0.000 0.216 1
La2 0.000 0.000 0.784 1
La3 0.500 0.500 0.216 1
La4 0.500 0.500 0.784 1
Tc1 0.000 0.500 0.000 1
Tc2 0.500 0.000 0.000 1
Te1 0.000 0.500 0.500 1
Te2 0.500 0.000 0.500 1
```

Calculated values
E_tot = -40.1244 eV per atom
formation energy from raw total energies = -191 kJ/mol of formula units
energy relative to the lowest polymorph listed for this composition = 0.0000 eV/atom
volume = 26.03 Å³/atom
total magnetic moment = 0.0 μB per cell

---

VASP calculation (SCAN) on LaTl2Tc at its PBEsol-relaxed geometry.

The structure in CIF format:
```
data_LaTl2Tc
_space_group_name_H-M_alt 'P 1'
_space_group_IT_number 1
_space_group_name_Hall 'P 1'
_cell_length_a 5.846
_cell_length_b 10.100
_cell_length_c 3.239
_cell_angle_alpha 90.00
_cell_angle_beta 104.56
_cell_angle_gamma 90.00
loop_
_atom_site_label
_atom_site_fract_x
_atom_site_fract_y
_atom_site_fract_z
_atom_site_occupancy
La1 0.000 0.000 0.000 1
La2 0.500 0.500 0.000 1
Tl1 0.250 0.250 0.500 1
Tl2 0.250 0.750 0.500 1
Tl3 0.750 0.250 0.500 1
Tl4 0.750 0.750 0.500 1
Tc1 0.000 0.500 0.000 1
Tc2 0.500 0.000 0.000 1
```

Calculated values
E_tot = -55.3232 eV per atom
formation energy from the elements = 0.3972 eV per atom
energy relative to the lowest polymorph listed for this composition = 0.2263 eV/atom
volume = 23.14 Å³/atom
total magnetic moment = 2.2 μB per cell

---

VASP calculation (SCAN) on LaTl2Tc at its PBEsol-relaxed geometry.

The structure in CIF format:
```
data_LaTl2Tc
_space_group_name_H-M_alt 'P 1'
_space_group_IT_number 1
_space_group_name_Hall 'P 1'
_cell_length_a 3.496
_cell_length_b 4.480
_cell_length_c 12.629
_cell_angle_alpha 90.00
_cell_angle_beta 90.00
_cell_angle_gamma 90.00
loop_
_atom_site_label
_atom_site_fract_x
_atom_site_fract_y
_atom_site_fract_z
_atom_site_occupancy
La1 0.000 0.000 0.000 1
La2 0.000 0.500 0.500 1
Tl1 0.000 0.000 0.292 1
Tl2 0.000 0.500 0.792 1
Tl3 0.500 0.000 0.684 1
Tl4 0.500 0.500 0.184 1
Tc1 0.500 0.000 0.468 1
Tc2 0.500 0.500 0.968 1
```

Calculated values
E_tot = -55.5496 eV per atom
formation energy from the elements = 0.1709 eV per atom
energy relative to the lowest polymorph listed for this composition = 0.0000 eV/atom
volume = 24.72 Å³/atom
total magnetic moment = 0.0 μB per cell

---

Copy entry 3 word for word.
VASP calculation (SCAN) on La2TcTe at its PBEsol-relaxed geometry.

The structure in CIF format:
```
data_La2TcTe
_space_group_name_H-M_alt 'P 1'
_space_group_IT_number 1
_space_group_name_Hall 'P 1'
_cell_length_a 7.460
_cell_length_b 7.460
_cell_length_c 7.460
_cell_angle_alpha 90.00
_cell_angle_beta 90.00
_cell_angle_gamma 90.00
loop_
_atom_site_label
_atom_site_fract_x
_atom_site_fract_y
_atom_site_fract_z
_atom_site_occupancy
La1 0.250 0.250 0.250 1
La2 0.250 0.250 0.750 1
La3 0.250 0.750 0.250 1
La4 0.250 0.750 0.750 1
La5 0.750 0.250 0.250 1
La6 0.750 0.250 0.750 1
La7 0.750 0.750 0.250 1
La8 0.750 0.750 0.750 1
Tc1 0.000 0.000 0.000 1
Tc2 0.000 0.500 0.500 1
Tc3 0.500 0.000 0.500 1
Tc4 0.500 0.500 0.000 1
Te1 0.000 0.000 0.500 1
Te2 0.000 0.500 0.000 1
Te3 0.500 0.000 0.000 1
Te4 0.500 0.500 0.500 1
```

Calculated values
E_tot = -39.9505 eV per atom
formation energy from raw total energies = -124 kJ/mol of formula units
energy relative to the lowest polymorph listed for this composition = 0.1739 eV/atom
volume = 25.95 Å³/atom
total magnetic moment = 4.0 μB per cell

---

Q: The highest total magnetic moment belongs to which entry?
A: number 3

---

Q: Number 6 is which compound?
A: LaTl2Tc

---

Q: Look up the total magnetic moment of the second one.
A: 0.0 μB per cell